This record from Alexandria describes crystalline ZrPb at its relaxed geometry. The functional is PBE.

Cell: 5.8237 5.8237 5.8237 Å, 90.00 90.00 90.00°
With the nearest neighbours (Å) after each atom.
Fractional positions:
1 Zr 0.1071 0.1071 0.1071  7 Pb 3.02-3.21
2 Zr 0.3929 0.8929 0.6071  7 Pb 3.02-3.21
3 Zr 0.6071 0.3929 0.8929  7 Pb 3.02-3.21
4 Zr 0.8929 0.6071 0.3929  7 Pb 3.02-3.21
5 Pb 0.0939 0.5939 0.9061  7 Zr 3.02-3.21
6 Pb 0.4061 0.4061 0.4061  7 Zr 3.02-3.21
7 Pb 0.5939 0.9061 0.0939  7 Zr 3.02-3.21
8 Pb 0.9061 0.0939 0.5939  7 Zr 3.02-3.21

energy relative to the elements	-0.10	eV per atom
SG	No. 198
volume	24.7	Å³ per atom
crystal system	cubic